# 1
Computed, not measured: a relaxed structure of KGaGe at the GGA-PBE level of DFT.

The density of states at the Fermi level is 1.57 states/eV/cell. As for the uncorrected energy: -2.943 eV/atom. For the total magnetic moment, the calculation gives 0.00 μB/cell.

The space group is P1 (No. 1) and the conventional cell measures 4.306, 6.399 and 6.429 Å, with angles of 85.35, 75.57 and 72.09 degrees. The distinct sites, in fractional coordinates, are K at (0.000, 0.000, 0.000), K at (0.305, 0.466, 0.983), Ga at (0.425, 0.121, 0.495), Ga at (0.840, 0.727, 0.632), Ge at (0.431, 0.739, 0.366) and Ge at (0.828, 0.346, 0.465).

=====

# 2
Computed, not measured: a relaxed structure of ZrHgAu2 at the GGA-PBE level of DFT.

The density of states at the Fermi level is 2.24 states/eV/cell. As for the uncorrected energy: -4.152 eV/atom. For the total magnetic moment, the calculation gives 0.00 μB/cell.

The space group is P2/m (No. 10) and the conventional cell measures 3.093, 3.473 and 7.563 Å, with angles of 90.00, 90.30 and 90.00 degrees. The distinct sites, in fractional coordinates, are Zr at (0.000, 0.000, 0.000), Hg at (0.000, 0.000, 0.500) and Au at (0.497, 0.500, 0.762).

=====

# 3
Computed, not measured: a relaxed structure of V2HRu3 at the GGA-PBE level of DFT.

The density of states at the Fermi level is 21.43 states/eV/cell. As for the uncorrected energy: -8.301 eV/atom. For the total magnetic moment, the calculation gives 0.00 μB/cell.

The space group is C2/c (No. 15) and the conventional cell measures 9.124, 4.880 and 7.004 Å, with angles of 90.00, 111.69 and 90.00 degrees. The distinct sites, in fractional coordinates, are V at (0.181, 0.156, 0.148), H at (0.000, 0.174, 0.250), Ru at (0.000, 0.184, 0.750) and Ru at (0.116, 0.370, 0.465).

=====

# 4
Computed, not measured: a relaxed structure of YPtAu2 at the GGA-PBE level of DFT.

The density of states at the Fermi level is 6.97 states/eV/cell. As for the uncorrected energy: -5.427 eV/atom. For the total magnetic moment, the calculation gives 0.00 μB/cell. The energy above the most stable polymorph in this dataset is 109.6 meV/atom.

The space group is Fm-3m (No. 225) and the conventional cell measures 6.807, 6.807 and 6.807 Å, with angles of 90.00, 90.00 and 90.00 degrees. The distinct sites, in fractional coordinates, are Y at (0.000, 0.000, 0.000), Pt at (0.000, 0.000, 0.500) and Au at (0.250, 0.250, 0.250).